1.
## La2CdOsI (GGA-PBE)

Data for crystalline La2CdOsI at its relaxed geometry.

For the raw formation energy, the calculation gives -13 meV per atom.

The structure belongs to space group P4/mmm (No. 123); the cell edges are 5.452, 5.452 and 5.739 Å and the angles 90.00°, 90.00° and 90.00°. Symmetry generates all atoms from La at (0.000, 0.500, 0.000), Cd at (0.000, 0.000, 0.500), Os at (0.500, 0.500, 0.000) and I at (0.500, 0.500, 0.500).

***

2.
## Sc2GaOs (GGA-PBE)

Data for crystalline Sc2GaOs at its relaxed geometry.

The calculation puts the energy at -6.696 eV per atom.

The structure belongs to space group I-42d (No. 122); the cell edges are 7.599, 7.599 and 5.452 Å and the angles 90.00°, 90.00° and 90.00°. Symmetry generates all atoms from Sc at (0.205, 0.250, 0.125), Ga at (0.000, 0.000, 0.500) and Os at (0.000, 0.000, 0.000).

***

3.
## HfNiH4 (GGA-PBE)

Data for crystalline HfNiH4 at its relaxed geometry.

The calculation puts the energy at -5.073 eV per atom.

The structure belongs to space group P2_1/m (No. 11); the cell edges are 3.305, 5.992 and 4.823 Å and the angles 90.00°, 90.06° and 90.00°. Symmetry generates all atoms from Hf at (0.249, 0.250, 0.103), Ni at (0.254, 0.750, 0.371), H at (0.247, 0.250, 0.573), H at (0.250, 0.590, 0.094) and H at (0.251, 0.750, 0.699).

***

4.
## NaMgZn2Ga2 (GGA-PBE)

Data for crystalline NaMgZn2Ga2 at its relaxed geometry.

The calculation puts the energy at -2.005 eV per atom.

The structure belongs to space group P-3m1 (No. 164); the cell edges are 4.3964, 4.3964 and 7.1286 Å and the angles 90.00°, 90.00° and 120.00°. Symmetry generates all atoms from Na at (0.0000, 0.0000, 0.0000), Mg at (0.0000, 0.0000, 0.5000), Zn at (0.3333, 0.6667, 0.7075) and Ga at (0.3333, 0.6667, 0.2784).

***

5.
## TlFeAs2 (GGA-PBE)

Data for crystalline TlFeAs2 at its relaxed geometry.

The calculation puts the distance to the lowest polymorph of the same formula at 213.0 meV per atom.

The structure belongs to space group Immm (No. 71); the cell edges are 2.926, 5.494 and 10.338 Å and the angles 90.00°, 90.00° and 90.00°. Symmetry generates all atoms from Tl at (0.000, 0.000, 0.000), Fe at (0.000, 0.000, 0.500) and As at (0.000, 0.500, 0.187).

***

6.
## TaGa2Ni (GGA-PBE)

Data for crystalline TaGa2Ni at its relaxed geometry.

The calculation puts the energy at -6.171 eV per atom.

The structure belongs to space group P4/mmm (No. 123); the cell edges are 2.889, 2.889 and 6.938 Å and the angles 90.00°, 90.00° and 90.00°. Symmetry generates all atoms from Ta at (0.000, 0.000, 0.000), Ga at (0.500, 0.500, 0.288) and Ni at (0.000, 0.000, 0.500).

***

7.
## Th6Tc2GeSe3 (GGA-PBE)

Data for crystalline Th6Tc2GeSe3 at its relaxed geometry.

For the raw formation energy, the calculation gives -934 meV per atom.

The structure belongs to space group C2/m (No. 12); the cell edges are 7.255, 12.573 and 7.627 Å and the angles 90.00°, 108.68° and 90.00°. Symmetry generates all atoms from Th at (0.223, 0.000, 0.222), Th at (0.248, 0.324, 0.221), Tc at (0.000, 0.168, 0.000), Ge at (0.000, 0.500, 0.000), Se at (0.000, 0.000, 0.500) and Se at (0.000, 0.339, 0.500).

***

Density (computed, g/cm3): 6.9, 7.4, 8.4, 4.4, 8.2, 10.9, 9.6